(1)
Density functional theory data (GGA-PBE) for a relaxed Sm6AgGe3 crystal.

extended XYZ file:
```
20
Lattice="-4.5440 -0.4782 -5.4033 6.1982 -0.2761 -5.1881 0.4417 -10.1457 1.0677" Properties=species:S:1:pos:R:3 pbc="T T T"
Ge -1.5816 -8.2436 -6.2608
Ge 3.6775 -2.6564 -3.2629
Sm 1.5011 -4.5089 -1.9943
Sm 2.1649 -3.2181 -8.8997
Sm 0.5948 -6.3912 -7.5294
Sm -0.0690 -7.6820 -0.6240
Sm 3.8038 -4.7342 -5.6282
Sm -1.4110 -9.7825 -3.4415
Ge -1.1607 -2.8590 -2.7284
Sm 2.4931 -7.9554 -3.8523
Sm 3.5069 -1.1176 -6.0822
Sm 0.8001 -10.0037 -6.9987
Ge 3.2566 -8.0410 -6.7953
Ag 0.0000 0.0000 0.0000
Sm -1.7079 -6.1658 -3.8955
Ge 0.8271 -0.3772 -5.2957
Ge 0.2208 -5.0729 0.5338
Sm -0.3972 -2.9446 -5.6714
Ag 1.0480 -5.4500 -4.7619
Sm 1.2958 -0.8963 -2.5250
```

Results
Total magnetization = 0.00 Bohr magnetons per cell
E = -4.9679 eV per atom
ΔH_f (0 K) = -450 kJ/mol of formula units
Theoretical density = 6.98 g/cm3
Density of states at the Fermi level = 0.984 states/eV/atom

***

(2)
Density functional theory data (GGA-PBE) for a relaxed Rb3MgCo crystal.

extended XYZ file:
```
5
Lattice="-6.2452 -3.3989 0.4387 1.0543 -1.0376 6.9684 -3.2609 6.1740 1.4126" Properties=species:S:1:pos:R:3 pbc="T T T"
Rb -3.1226 -1.6994 0.2194
Co -4.2259 0.8688 4.4099
Rb 0.5271 -0.5188 3.4842
Mg 0.0000 0.0000 0.0000
Rb -1.6304 3.0870 0.7063
```

Results
Total magnetization = 2.25 Bohr magnetons per cell
E = -1.2894 eV per atom
ΔH_f (0 K) = 498 kJ/mol of formula units
Theoretical density = 1.56 g/cm3
Density of states at the Fermi level = 2.642 states/eV/atom

***

Which formula does entry 2 have?
Rb3MgCo